(1)
GGA-PBE Li3HfAu12, optimized geometry; DFT formation energy = -0.33 eV per atom; volume = 17.4 A^3/atom
1.0
-1.819 2.278 -2.988
2.421 -1.828 -2.867
-11.019 -11.437 -2.014
Li Hf Au
3 1 12
direct
0.000 0.000 0.258
0.000 0.000 0.500
0.000 0.000 0.742
0.000 0.000 0.000
0.500 0.500 0.000
0.500 0.500 0.254
0.500 0.500 0.500
0.500 0.500 0.746
0.500 0.000 0.129
0.500 0.000 0.377
0.500 0.000 0.623
0.500 0.000 0.871
0.000 0.500 0.129
0.000 0.500 0.377
0.000 0.500 0.623
0.000 0.500 0.871

***

(2)
GGA-PBE CsAcC2O6, optimized geometry; volume = 17.3 A^3/atom; formation energy (no corrections) = -21.65 eV/f.u.
1.0
-0.528 -4.063 -5.597
6.840 0.889 -0.733
-0.831 -4.780 6.125
Cs Ac C O
2 2 4 12
direct
0.115 0.885 0.250
0.885 0.115 0.750
0.605 0.395 0.250
0.395 0.605 0.750
0.391 0.154 0.751
0.846 0.609 0.749
0.609 0.846 0.249
0.154 0.391 0.251
0.966 0.392 0.238
0.608 0.034 0.262
0.034 0.608 0.762
0.392 0.966 0.738
0.216 0.267 0.128
0.733 0.784 0.372
0.784 0.733 0.872
0.267 0.216 0.628
0.294 0.520 0.391
0.480 0.706 0.109
0.706 0.480 0.609
0.520 0.294 0.891

***

(3)
GGA-PBE Li2CoAg, optimized geometry; DFT formation energy = 0.21 eV per atom; volume = 14.1 A^3/atom
1.0
-0.675 4.254 -1.850
-4.164 0.105 -2.151
1.247 -1.361 4.309
Ag Co Li
1 1 2
direct
0.250 0.750 0.500
0.750 0.250 0.500
0.000 0.000 0.000
0.500 0.500 0.000

***

(4)
GGA-PBE Ca2PtAu, optimized geometry; DFT formation energy = -0.54 eV per atom; volume = 21.6 A^3/atom
1.0
4.965 0.000 0.000
2.483 4.300 0.000
2.483 1.433 4.054
Ca Au Pt
2 1 1
direct
0.000 0.000 0.000
0.250 0.250 0.250
0.500 0.500 0.500
0.750 0.750 0.750

***

(5)
GGA-PBE MnCr3Sb, optimized geometry; volume = 16.4 A^3/atom; formation energy (no corrections) = 4.31 eV/f.u.
1.0
-3.219 2.786 -0.864
-1.955 -3.016 -2.440
-2.164 -1.419 3.489
Sb Mn Cr
1 1 3
direct
0.500 0.500 0.500
0.000 0.000 0.000
0.000 0.500 0.000
0.000 0.000 0.500
0.500 0.000 0.000

***

(6)
GGA-PBE PmZrCuAu, optimized geometry; DFT formation energy = -0.27 eV per atom; volume = 21.6 A^3/atom
1.0
-4.771 -0.622 -1.212
-2.599 -3.729 1.989
-3.550 0.951 3.333
Au Cu Zr Pm
1 1 1 1
direct
0.000 0.000 0.000
0.500 0.500 0.500
0.750 0.750 0.750
0.250 0.250 0.250

***

(7)
GGA-PBE Ac6ZnRu2, optimized geometry; DFT formation energy = -0.15 eV per atom; volume = 37.5 A^3/atom
1.0
-3.484 -1.831 -1.674
5.173 -0.564 -4.684
1.241 -9.527 7.838
Ac Zn Ru
6 1 2
direct
0.022 0.044 0.768
0.666 0.332 0.077
0.334 0.668 0.923
0.695 0.390 0.614
0.305 0.610 0.386
0.978 0.956 0.232
0.000 0.000 0.500
0.675 0.349 0.834
0.325 0.651 0.166

***

(8)
GGA-PBE Sr2GeBiF, optimized geometry; volume = 44.7 A^3/atom; formation energy (no corrections) = -2.12 eV/f.u.
1.0
-3.169 -5.564 -0.418
4.534 -2.455 -1.702
1.555 -1.343 6.080
Sr Ge Bi F
2 1 1 1
direct
0.000 0.000 0.500
0.500 0.000 0.000
0.000 0.500 0.000
0.000 0.000 0.000
0.500 0.500 0.500